Entry 1:
! CeTm5Sc3 (PBE-GGA, optimized geometry); values from VASP
! Formation enthalpy at 0 K: 0.463 eV per atom
! Space group: No. 12
&SYSTEM
  ibrav = 0, nat = 18, ntyp = 3
/
ATOMIC_SPECIES
Ce 140.12 Ce.upf
Tm 168.93 Tm.upf
Sc 44.96 Sc.upf
CELL_PARAMETERS angstrom
8.3820 1.2803 0.6902
3.5260 7.7113 0.6902
4.5097 3.4052 9.8044
ATOMIC_POSITIONS crystal
Ce 0.1045 0.1045 0.6840
Ce 0.8955 0.8955 0.3160
Tm 0.8361 0.4482 0.4383
Tm 0.3225 0.6775 0.0000
Tm 0.7990 0.7990 0.8460
Tm 0.5527 0.5527 0.2373
Tm 0.4473 0.4473 0.7627
Tm 0.2010 0.2010 0.1540
Tm 0.4482 0.8361 0.4383
Tm 0.6775 0.3225 0.0000
Tm 0.1639 0.5518 0.5617
Tm 0.5518 0.1639 0.5617
Sc 0.6842 0.6842 0.6714
Sc 0.7841 0.7841 0.1365
Sc 0.0000 0.0000 0.0000
Sc 0.0000 0.0000 0.5000
Sc 0.3157 0.3157 0.3286
Sc 0.2159 0.2159 0.8635

***

Entry 2:
! ScAg2Hg3 (PBE-GGA, optimized geometry); values from VASP
! Energy above the lowest structure with this stoichiometry: 31 meV/atom
! Formation enthalpy at 0 K: -0.040 eV per atom
! Space group: No. 12
&SYSTEM
  ibrav = 0, nat = 12, ntyp = 3
/
ATOMIC_SPECIES
Sc 44.96 Sc.upf
Ag 107.87 Ag.upf
Hg 200.59 Hg.upf
CELL_PARAMETERS angstrom
-2.0431 -2.1488 1.3917
6.5676 -6.0787 0.2562
0.7898 6.5566 7.4286
ATOMIC_POSITIONS crystal
Sc 0.3162 0.9563 0.6323
Sc 0.6838 0.0437 0.3677
Ag 0.3051 0.6170 0.6102
Ag 0.6949 0.3830 0.3898
Ag 0.9218 0.8538 0.8435
Ag 0.0782 0.1462 0.1565
Hg 0.3022 0.2758 0.6043
Hg 0.0677 0.8049 0.1354
Hg 0.4405 0.5667 0.8811
Hg 0.6978 0.7242 0.3957
Hg 0.5595 0.4333 0.1189
Hg 0.9323 0.1951 0.8646

***

Entry 3:
! Dy2BPd4Pt2 (PBE-GGA, optimized geometry); values from VASP
! Formation enthalpy at 0 K: -0.930 eV per atom
! Space group: No. 139
&SYSTEM
  ibrav = 0, nat = 9, ntyp = 4
/
ATOMIC_SPECIES
Dy 162.50 Dy.upf
B 10.81 B.upf
Pd 106.42 Pd.upf
Pt 195.08 Pt.upf
CELL_PARAMETERS angstrom
-5.4324 -2.4317 -0.2561
3.3719 -0.7068 4.8601
0.6185 5.9064 0.4704
ATOMIC_POSITIONS crystal
Dy 0.5000 0.7500 0.2500
Dy 0.5000 0.2500 0.7500
B 0.0000 0.0000 0.0000
Pd 0.0000 0.7406 0.2594
Pd 0.4811 0.7406 0.7406
Pd 0.0000 0.2594 0.7406
Pd 0.5189 0.2594 0.2594
Pt 0.0000 0.7503 0.7503
Pt 0.0000 0.2497 0.2497

***

Entry 4:
! LaMgN2O (PBE-GGA, optimized geometry); values from VASP
! Energy relative to the elements, uncorrected: 0.1840 eV/atom
! Space group: No. 123
&SYSTEM
  ibrav = 0, nat = 5, ntyp = 4
/
ATOMIC_SPECIES
Mg 24.30 Mg.upf
N 14.01 N.upf
O 16.00 O.upf
La 138.91 La.upf
CELL_PARAMETERS angstrom
-4.2971 -0.2274 0.5911
0.6314 -1.8520 3.8778
0.0503 4.0216 1.9125
ATOMIC_POSITIONS crystal
Mg 0.5000 0.5000 0.5000
N 0.0000 0.5000 0.0000
N 0.5000 0.0000 0.0000
O 0.0000 0.0000 0.5000
La 0.0000 0.0000 0.0000

***

Entry 5:
! BaLi2CaAg2 (PBE-GGA, optimized geometry); values from VASP
! Formation enthalpy at 0 K: -0.197 eV per atom
! Space group: No. 164
&SYSTEM
  ibrav = 0, nat = 6, ntyp = 4
/
ATOMIC_SPECIES
Ba 137.33 Ba.upf
Li 6.94 Li.upf
Ca 40.08 Ca.upf
Ag 107.87 Ag.upf
CELL_PARAMETERS angstrom
-3.3004 0.9493 -3.4505
1.1603 -4.6084 1.0566
-5.8832 -0.2040 5.5712
ATOMIC_POSITIONS crystal
Ba 0.0000 0.0000 0.0000
Li 0.3333 0.6667 0.6858
Li 0.6667 0.3333 0.3142
Ca 0.0000 0.0000 0.5000
Ag 0.3333 0.6667 0.2998
Ag 0.6667 0.3333 0.7002

***

Entry 6:
! Pm5Nd4Y (PBE-GGA, optimized geometry); values from VASP
! Energy above the lowest structure with this stoichiometry: 164 meV/atom
! Formation enthalpy at 0 K: 0.177 eV per atom
! Space group: No. 129
&SYSTEM
  ibrav = 0, nat = 20, ntyp = 3
/
ATOMIC_SPECIES
Pm 145.00 Pm.upf
Nd 144.24 Nd.upf
Y 88.91 Y.upf
CELL_PARAMETERS angstrom
-5.7246 -1.1237 -0.6319
1.9599 -10.6155 1.1216
-1.3579 0.8832 10.7318
ATOMIC_POSITIONS crystal
Pm 0.1666 0.8380 0.8380
Pm 0.1666 0.1620 0.8380
Pm 0.9999 0.5000 0.0000
Pm 0.1666 0.8380 0.1620
Pm 0.1666 0.1620 0.1620
Pm 0.8334 0.6620 0.3380
Pm 0.8334 0.3380 0.3380
Pm 0.0001 0.0000 0.5000
Pm 0.8334 0.3380 0.6620
Pm 0.8334 0.6620 0.6620
Nd 0.6330 0.0000 0.7044
Nd 0.6328 0.7044 0.0000
Nd 0.6328 0.2956 0.0000
Nd 0.6330 0.0000 0.2956
Nd 0.3670 0.5000 0.2044
Nd 0.3672 0.7956 0.5000
Nd 0.3672 0.2044 0.5000
Nd 0.3670 0.5000 0.7956
Y 0.6427 0.0000 0.0000
Y 0.3573 0.5000 0.5000

***

Entry 7:
! La3HgPb2 (PBE-GGA, optimized geometry); values from VASP
! Energy above the lowest structure with this stoichiometry: 17 meV/atom
! Formation enthalpy at 0 K: -0.546 eV per atom
! Space group: No. 123
&SYSTEM
  ibrav = 0, nat = 6, ntyp = 3
/
ATOMIC_SPECIES
La 138.91 La.upf
Hg 200.59 Hg.upf
Pb 207.20 Pb.upf
CELL_PARAMETERS angstrom
-0.4165 3.6642 0.2272
-0.2591 -0.2575 3.6767
13.4685 1.4657 1.0519
ATOMIC_POSITIONS crystal
La 0.0000 0.0000 0.0000
La 0.0000 0.0000 0.6597
La 0.0000 0.0000 0.3403
Hg 0.5000 0.5000 0.5000
Pb 0.5000 0.5000 0.8293
Pb 0.5000 0.5000 0.1707

***

Entry 8:
! SmTeCl (PBE-GGA, optimized geometry); values from VASP
! Energy relative to the elements, uncorrected: -1.6402 eV/atom
! Space group: No. 63
&SYSTEM
  ibrav = 0, nat = 6, ntyp = 3
/
ATOMIC_SPECIES
Sm 150.36 Sm.upf
Te 127.60 Te.upf
Cl 35.45 Cl.upf
CELL_PARAMETERS angstrom
-5.9738 -0.5172 -1.6407
2.0283 -3.8148 -6.1828
-1.8205 -1.6178 7.1388
ATOMIC_POSITIONS crystal
Sm 0.2500 0.1564 0.8436
Sm 0.7500 0.8436 0.1564
Te 0.2500 0.7522 0.2478
Te 0.7500 0.2478 0.7522
Cl 0.5000 0.0000 0.0000
Cl 0.0000 0.0000 0.0000

***

Entry 9:
! Dy3YSc4 (PBE-GGA, optimized geometry); values from VASP
! Formation enthalpy at 0 K: 0.030 eV per atom
! Space group: No. 31
&SYSTEM
  ibrav = 0, nat = 16, ntyp = 3
/
ATOMIC_SPECIES
Dy 162.50 Dy.upf
Y 88.91 Y.upf
Sc 44.96 Sc.upf
CELL_PARAMETERS angstrom
-4.3405 2.7659 -3.1086
-4.3517 -5.2400 1.4137
-3.1923 5.0710 8.9693
ATOMIC_POSITIONS crystal
Dy 0.6440 0.6344 0.0000
Dy 0.9868 0.6341 0.2506
Dy 0.4868 0.3659 0.2494
Dy 0.1440 0.3656 0.5000
Dy 0.4868 0.3659 0.7506
Dy 0.9868 0.6341 0.7494
Y 0.1425 0.3662 0.0000
Y 0.6425 0.6338 0.5000
Sc 0.1505 0.8825 0.0000
Sc 0.6505 0.1161 0.0000
Sc 0.9771 0.1161 0.2504
Sc 0.4771 0.8839 0.2496
Sc 0.1505 0.8839 0.5000
Sc 0.6505 0.1175 0.5000
Sc 0.4771 0.8839 0.7504
Sc 0.9771 0.1161 0.7496

***

Entry 10:
! Pu2AgHg2 (PBE-GGA, optimized geometry); values from VASP
! Formation enthalpy at 0 K: -0.044 eV per atom
! Space group: No. 12
&SYSTEM
  ibrav = 0, nat = 10, ntyp = 3
/
ATOMIC_SPECIES
Pu 244.00 Pu.upf
Ag 107.87 Ag.upf
Hg 200.59 Hg.upf
CELL_PARAMETERS angstrom
5.0129 0.0000 0.0000
-2.5064 5.2139 -1.3696
0.0000 0.2456 9.2955
ATOMIC_POSITIONS crystal
Pu 0.9477 0.8955 0.6394
Pu 0.1653 0.3305 0.0669
Pu 0.0523 0.1045 0.3606
Pu 0.8347 0.6695 0.9331
Ag 0.7446 0.4891 0.2911
Ag 0.2554 0.5109 0.7089
Hg 0.3575 0.7150 0.4169
Hg 0.4720 0.9439 0.1455
Hg 0.6425 0.2850 0.5831
Hg 0.5280 0.0561 0.8545

***

Entry 11:
! NaLa2Sn (PBE-GGA, optimized geometry); values from VASP
! Formation enthalpy at 0 K: -0.068 eV per atom
! Space group: No. 122
&SYSTEM
  ibrav = 0, nat = 8, ntyp = 3
/
ATOMIC_SPECIES
Na 22.99 Na.upf
Sn 118.71 Sn.upf
La 138.91 La.upf
CELL_PARAMETERS angstrom
9.0520 0.0000 0.0000
0.0000 9.0520 0.0000
4.5260 4.5260 3.3095
ATOMIC_POSITIONS crystal
Na 0.5000 0.5000 0.0000
Na 0.2500 0.7500 0.5000
Sn 0.0000 0.0000 0.0000
Sn 0.7500 0.2500 0.5000
La 0.6391 0.1250 0.2500
La 0.1109 0.6250 0.2500
La 0.3750 0.3609 0.7500
La 0.8750 0.8891 0.7500

***

Entry 12:
! RuPt2W (PBE-GGA, optimized geometry); values from VASP
! Energy above the lowest structure with this stoichiometry: 44 meV/atom
! Formation enthalpy at 0 K: -0.148 eV per atom
! Space group: No. 123
&SYSTEM
  ibrav = 0, nat = 4, ntyp = 3
/
ATOMIC_SPECIES
Pt 195.08 Pt.upf
Ru 101.07 Ru.upf
W 183.84 W.upf
CELL_PARAMETERS angstrom
3.8683 0.0000 0.0000
0.0000 3.8683 0.0000
0.0000 0.0000 4.0510
ATOMIC_POSITIONS crystal
Pt 0.0000 0.0000 0.0000
Pt 0.5000 0.5000 0.0000
Ru 0.5000 0.0000 0.5000
W 0.0000 0.5000 0.5000

***

Entry 13:
! NaAl2Zn6 (PBE-GGA, optimized geometry); values from VASP
! Formation enthalpy at 0 K: 0.074 eV per atom
! Space group: No. 71
&SYSTEM
  ibrav = 0, nat = 9, ntyp = 3
/
ATOMIC_SPECIES
Na 22.99 Na.upf
Al 26.98 Al.upf
Zn 65.41 Zn.upf
CELL_PARAMETERS angstrom
-2.5752 2.4171 2.1734
1.5393 -1.0896 6.9921
4.1474 4.2388 4.1566
ATOMIC_POSITIONS crystal
Na 0.0000 0.0000 0.0000
Al 0.8814 0.6186 0.6186
Al 0.1186 0.3814 0.3814
Zn 0.6917 0.0125 0.6042
Zn 0.3083 0.9875 0.3958
Zn 0.3083 0.3958 0.9875
Zn 0.5000 0.6879 0.3121
Zn 0.5000 0.3121 0.6879
Zn 0.6917 0.6042 0.0125

***

Entry 14:
! LiRe2Ge2 (PBE-GGA, optimized geometry); values from VASP
! Formation enthalpy at 0 K: 0.183 eV per atom
! Space group: No. 127
&SYSTEM
  ibrav = 0, nat = 10, ntyp = 3
/
ATOMIC_SPECIES
Re 186.21 Re.upf
Ge 72.64 Ge.upf
Li 6.94 Li.upf
CELL_PARAMETERS angstrom
7.1524 0.0000 0.0000
0.0000 7.1524 0.0000
0.0000 0.0000 3.0075
ATOMIC_POSITIONS crystal
Re 0.1433 0.6433 0.5000
Re 0.6433 0.8567 0.5000
Re 0.8567 0.3567 0.5000
Re 0.3567 0.1433 0.5000
Ge 0.3484 0.8484 0.0000
Ge 0.8484 0.6516 0.0000
Ge 0.6516 0.1516 0.0000
Ge 0.1516 0.3484 0.0000
Li 0.0000 0.0000 0.0000
Li 0.5000 0.5000 0.0000

***

Entry 15:
! RbAcHg (PBE-GGA, optimized geometry); values from VASP
! Energy above the lowest structure with this stoichiometry: 109 meV/atom
! Formation enthalpy at 0 K: -0.106 eV per atom
! Space group: No. 107
&SYSTEM
  ibrav = 0, nat = 3, ntyp = 3
/
ATOMIC_SPECIES
Ac 227.00 Ac.upf
Hg 200.59 Hg.upf
Rb 85.47 Rb.upf
CELL_PARAMETERS angstrom
-3.9206 -0.8436 -1.2521
-0.3151 -2.9503 2.9744
-0.6991 7.3717 4.2709
ATOMIC_POSITIONS crystal
Ac 0.2846 0.2846 0.5692
Hg 0.6925 0.6925 0.3850
Rb 0.0229 0.0229 0.0458

***

Entry 16:
! ZnOs (PBE-GGA, optimized geometry); values from VASP
! Formation enthalpy at 0 K: 1.082 eV per atom
! Space group: No. 136
&SYSTEM
  ibrav = 0, nat = 8, ntyp = 2
/
ATOMIC_SPECIES
Zn 65.41 Zn.upf
Os 190.23 Os.upf
CELL_PARAMETERS angstrom
-4.3867 0.0310 2.4229
1.6910 -3.5499 3.1070
1.7507 3.5683 3.1240
ATOMIC_POSITIONS crystal
Zn 0.1848 0.8152 0.0000
Zn 0.6848 0.6848 0.5000
Zn 0.3152 0.3152 0.5000
Zn 0.8152 0.1848 0.0000
Os 0.3248 0.3248 0.0000
Os 0.8248 0.1752 0.5000
Os 0.1752 0.8248 0.5000
Os 0.6752 0.6752 0.0000

***

Entry 17:
! Nb2GaSn (PBE-GGA, optimized geometry); values from VASP
! Formation enthalpy at 0 K: 0.070 eV per atom
! Space group: No. 160
&SYSTEM
  ibrav = 0, nat = 4, ntyp = 3
/
ATOMIC_SPECIES
Nb 92.91 Nb.upf
Ga 69.72 Ga.upf
Sn 118.71 Sn.upf
CELL_PARAMETERS angstrom
3.4416 0.0000 0.0000
1.7208 2.9805 0.0000
1.7208 0.9935 7.6651
ATOMIC_POSITIONS crystal
Nb 0.0729 0.0729 0.7812
Nb 0.2607 0.2607 0.2178
Ga 0.6671 0.6671 0.9987
Sn 0.4992 0.4992 0.5023

***

Entry 18:
! AcPm2Si2 (PBE-GGA, optimized geometry); values from VASP
! Energy relative to the elements, uncorrected: 0.0896 eV/atom
! Space group: No. 139
&SYSTEM
  ibrav = 0, nat = 5, ntyp = 3
/
ATOMIC_SPECIES
Ac 227.00 Ac.upf
Pm 145.00 Pm.upf
Si 28.09 Si.upf
CELL_PARAMETERS angstrom
5.5893 0.0000 0.0000
0.0000 5.5893 0.0000
-2.7947 -2.7947 7.6611
ATOMIC_POSITIONS crystal
Ac 0.0000 0.0000 0.0000
Pm 0.7500 0.2500 0.5000
Pm 0.2500 0.7500 0.5000
Si 0.1926 0.1926 0.3853
Si 0.8074 0.8074 0.6147

***

Entry 19:
! Nd5Ga2I2 (PBE-GGA, optimized geometry); values from VASP
! Energy relative to the elements, uncorrected: -0.6772 eV/atom
! Space group: No. 64
&SYSTEM
  ibrav = 0, nat = 18, ntyp = 3
/
ATOMIC_SPECIES
Nd 144.24 Nd.upf
Ga 69.72 Ga.upf
I 126.90 I.upf
CELL_PARAMETERS angstrom
7.7304 0.0000 2.8061
0.0000 8.1796 0.0000
1.1526 0.0000 8.8758
ATOMIC_POSITIONS crystal
Nd 0.0000 0.0000 0.0000
Nd 0.5000 0.5000 0.0000
Nd 0.4558 0.1689 0.7481
Nd 0.7961 0.8311 0.7481
Nd 0.2961 0.6689 0.7481
Nd 0.9558 0.3311 0.7481
Nd 0.5442 0.8311 0.2519
Nd 0.2039 0.1689 0.2519
Nd 0.7039 0.3311 0.2519
Nd 0.0442 0.6689 0.2519
Ga 0.1234 0.3768 0.0000
Ga 0.8766 0.6232 0.0000
Ga 0.3766 0.8768 0.0000
Ga 0.6234 0.1232 0.0000
I 0.2046 0.0000 0.5909
I 0.7046 0.5000 0.5909
I 0.7954 0.0000 0.4091
I 0.2954 0.5000 0.4091

***

Entry 20:
! PmGePb (PBE-GGA, optimized geometry); values from VASP
! Energy above the lowest structure with this stoichiometry: 0 meV/atom
! Formation enthalpy at 0 K: -0.543 eV per atom
! Space group: No. 63
&SYSTEM
  ibrav = 0, nat = 6, ntyp = 3
/
ATOMIC_SPECIES
Pm 145.00 Pm.upf
Ge 72.64 Ge.upf
Pb 207.20 Pb.upf
CELL_PARAMETERS angstrom
-1.8985 1.3413 -3.2467
-1.3826 -3.9853 -0.8379
-6.9861 3.5748 5.5618
ATOMIC_POSITIONS crystal
Pm 0.2500 0.9105 0.8210
Pm 0.7500 0.0895 0.1790
Ge 0.2500 0.5445 0.0890
Ge 0.7500 0.4555 0.9110
Pb 0.7500 0.2931 0.5863
Pb 0.2500 0.7069 0.4137

***

Entry 21:
! ZnCo2B (PBE-GGA, optimized geometry); values from VASP
! Energy above the lowest structure with this stoichiometry: 346 meV/atom
! Formation enthalpy at 0 K: 0.144 eV per atom
! Space group: No. 122
&SYSTEM
  ibrav = 0, nat = 8, ntyp = 3
/
ATOMIC_SPECIES
Zn 65.41 Zn.upf
B 10.81 B.upf
Co 58.93 Co.upf
CELL_PARAMETERS angstrom
-3.6462 4.2597 2.3857
-1.5880 -3.8505 4.4479
-0.8627 0.9797 4.7141
ATOMIC_POSITIONS crystal
Zn 0.0000 0.0000 0.0000
Zn 0.7500 0.2500 0.5000
B 0.5000 0.5000 0.0000
B 0.2500 0.7500 0.5000
Co 0.5437 0.1250 0.2500
Co 0.2063 0.6250 0.2500
Co 0.3750 0.4563 0.7500
Co 0.8750 0.7937 0.7500

***

Entry 22:
! LaAl2Ag2Pd (PBE-GGA, optimized geometry); values from VASP
! Formation enthalpy at 0 K: -0.308 eV per atom
! Space group: No. 123
&SYSTEM
  ibrav = 0, nat = 6, ntyp = 4
/
ATOMIC_SPECIES
La 138.91 La.upf
Al 26.98 Al.upf
Ag 107.87 Ag.upf
Pd 106.42 Pd.upf
CELL_PARAMETERS angstrom
4.7564 0.0000 0.0000
0.0000 4.7564 0.0000
0.0000 0.0000 5.8937
ATOMIC_POSITIONS crystal
La 0.0000 0.0000 0.5000
Al 0.5000 0.0000 0.0000
Al 0.0000 0.5000 0.0000
Ag 0.5000 0.5000 0.7337
Ag 0.5000 0.5000 0.2663
Pd 0.0000 0.0000 0.0000

***

Entry 23:
! Sm8Ge5Pt (PBE-GGA, optimized geometry); values from VASP
! Formation enthalpy at 0 K: -0.832 eV per atom
! Space group: No. 82
&SYSTEM
  ibrav = 0, nat = 14, ntyp = 3
/
ATOMIC_SPECIES
Sm 150.36 Sm.upf
Ge 72.64 Ge.upf
Pt 195.08 Pt.upf
CELL_PARAMETERS angstrom
-1.9783 1.1160 -7.4873
-1.1830 -7.4773 1.9772
-4.4065 4.6640 4.4776
ATOMIC_POSITIONS crystal
Sm 0.1292 0.7468 0.0029
Sm 0.9971 0.1263 0.7439
Sm 0.7519 0.2475 0.3689
Sm 0.6311 0.3830 0.8785
Sm 0.4955 0.6170 0.2481
Sm 0.6176 0.8737 0.8708
Sm 0.2561 0.2532 0.3824
Sm 0.1215 0.7525 0.5045
Ge 0.9988 0.3724 0.1258
Ge 0.8742 0.8730 0.2466
Ge 0.7534 0.6276 0.6264
Ge 0.5000 0.0000 0.5000
Ge 0.3736 0.1270 0.0012
Pt 0.2500 0.5000 0.7500

***

Result set for calculated volume: 558.03, 266.70, 149.08, 84.02, 166.35, 691.20, 185.50, 240.88, 451.19, 244.64, 271.17, 60.62, 166.62, 153.85, 141.48, 126.97, 78.63, 239.34, 534.78, 161.00, 85.98, 133.33, 368.67 Å³/cell, one per record in the order listed.
Result set for energy: -86.23, -26.36, -57.11, -27.21, -14.64, -95.05, -25.78, -29.26, -90.71, -64.68, -30.90, -34.90, -15.78, -70.26, -5.70, -41.36, -26.89, -24.01, -78.18, -29.41, -43.17, -25.15, -78.53 eV/cell, one per record in the order listed.